Below is a relaxed VRh6O12 crystal, with properties calculated at the PBE+U level.

POSCAR file:
```
VRh6O12
1.0
5.976 -0.039 -0.047
-0.945 5.901 -0.047
-0.945 -1.100 5.798
O Rh V
12 6 1
direct
0.558 0.400 0.824 O
0.686 0.972 0.006 O
0.028 0.994 0.314 O
0.314 0.028 0.994 O
0.400 0.824 0.558 O
0.006 0.686 0.972 O
0.600 0.176 0.442 O
0.442 0.600 0.176 O
0.972 0.006 0.686 O
0.994 0.314 0.028 O
0.824 0.558 0.400 O
0.176 0.442 0.600 O
0.139 0.572 0.289 Rh
0.572 0.289 0.139 Rh
0.289 0.139 0.572 Rh
0.861 0.428 0.711 Rh
0.428 0.711 0.861 Rh
0.711 0.861 0.428 Rh
0.000 0.000 0.000 V
```

Results
Density = 7.016 g/cm³
Total magnetization = 0.00 μB/f.u.
Calculated total energy = -6.53 eV per atom